Run 1
Material: Si2W
Method: DFT, PBE
State: relaxed Values from VASP.

```
&SYSTEM
  ibrav = 0, nat = 3, ntyp = 2
/
ATOMIC_SPECIES
Si 28.09 Si.upf
W 183.84 W.upf
CELL_PARAMETERS angstrom
-2.649 -1.279 0.220
2.395 -1.382 1.027
-0.785 2.523 5.225
ATOMIC_POSITIONS crystal
Si 0.667 0.333 0.669
Si 0.333 0.667 0.331
W 0.000 0.000 0.000
```

Computed properties:
Its density is 9.03 g/cm³. The symmetry is P-3m1 (164).

***

Run 2
Material: Si2W
Method: DFT, PBE
State: relaxed Values from VASP.

```
&SYSTEM
  ibrav = 0, nat = 3, ntyp = 2
/
ATOMIC_SPECIES
Si 28.09 Si.upf
W 183.84 W.upf
CELL_PARAMETERS angstrom
-0.055 -0.189 3.224
0.634 -3.162 -0.175
3.564 2.443 -1.414
ATOMIC_POSITIONS crystal
Si 0.835 0.835 0.669
Si 0.165 0.165 0.331
W 0.500 0.500 0.000
```

Computed properties:
Its density is 9.72 g/cm³. The symmetry is I4/mmm (139).

***

Run 3
Material: Si2W
Method: DFT, PBE
State: relaxed Values from VASP.

```
&SYSTEM
  ibrav = 0, nat = 6, ntyp = 2
/
ATOMIC_SPECIES
Si 28.09 Si.upf
W 183.84 W.upf
CELL_PARAMETERS angstrom
1.627 4.415 0.023
-1.627 4.415 0.023
0.000 0.794 6.251
ATOMIC_POSITIONS crystal
Si 0.030 0.030 0.018
Si 0.579 0.579 0.316
Si 0.386 0.386 0.660
Si 0.306 0.306 0.267
W 0.108 0.108 0.619
W 0.757 0.757 0.954
```

Computed properties:
Its density is 8.88 g/cm³. The symmetry is Cm (8).

***

Which structure is most stable? run 2, by 0.357 eV/atom over the runner-up.

***

Run 1
Material: Si5W3
Method: DFT, PBE
State: relaxed Values from VASP.

```
&SYSTEM
  ibrav = 0, nat = 16, ntyp = 2
/
ATOMIC_SPECIES
Si 28.09 Si.upf
W 183.84 W.upf
CELL_PARAMETERS angstrom
-1.124 6.708 3.312
-5.452 -5.242 0.127
1.765 -1.735 4.114
ATOMIC_POSITIONS crystal
Si 0.333 0.667 0.000
Si 0.667 0.333 0.500
Si 0.667 0.333 0.000
Si 0.333 0.667 0.500
Si 0.233 0.000 0.250
Si 0.767 0.000 0.750
Si 0.000 0.233 0.250
Si 0.767 0.767 0.250
Si 0.233 0.233 0.750
Si 0.000 0.767 0.750
W 0.618 0.000 0.250
W 0.382 0.000 0.750
W 0.000 0.618 0.250
W 0.382 0.382 0.250
W 0.618 0.618 0.750
W 0.000 0.382 0.750
```

Computed properties:
Its density is 9.66 g/cm³. The symmetry is P6_3/mcm (193).

***

Run 2
Material: Si5W3
Method: DFT, PBE
State: relaxed Values from VASP.

```
&SYSTEM
  ibrav = 0, nat = 16, ntyp = 2
/
ATOMIC_SPECIES
Si 28.09 Si.upf
W 183.84 W.upf
CELL_PARAMETERS angstrom
-1.493 5.205 4.633
-0.973 -7.010 0.838
4.453 -1.298 4.787
ATOMIC_POSITIONS crystal
Si 0.208 0.708 0.480
Si 0.661 0.161 0.636
Si 0.012 0.191 0.723
Si 0.927 0.713 0.269
Si 0.518 0.229 0.182
Si 0.413 0.664 0.788
Si 0.213 0.427 0.269
Si 0.691 0.512 0.723
Si 0.164 0.913 0.788
Si 0.729 0.018 0.182
W 0.186 0.179 0.012
W 0.679 0.686 0.012
W 0.357 0.857 0.067
W 0.953 0.453 0.883
W 0.849 0.947 0.490
W 0.447 0.349 0.490
```

Computed properties:
Its density is 9.47 g/cm³. The symmetry is Cm (8).

***

Which structure is most stable? run 2, by 0.143 eV/atom over the runner-up.

***

Run 1
Material: Si4W
Method: DFT, PBE
State: relaxed Values from VASP.

```
&SYSTEM
  ibrav = 0, nat = 5, ntyp = 2
/
ATOMIC_SPECIES
Si 28.09 Si.upf
W 183.84 W.upf
CELL_PARAMETERS angstrom
3.487 -1.255 2.963
-0.949 3.762 -2.732
-3.427 0.626 3.221
ATOMIC_POSITIONS crystal
Si 0.814 0.386 0.200
Si 0.386 0.186 0.571
Si 0.186 0.614 0.800
Si 0.614 0.814 0.429
W 0.000 0.000 0.000
```

Computed properties:
Its density is 7.12 g/cm³. The symmetry is I4/m (87).

***

Run 2
Material: Si4W
Method: DFT, PBE
State: relaxed Values from VASP.

```
&SYSTEM
  ibrav = 0, nat = 5, ntyp = 2
/
ATOMIC_SPECIES
Si 28.09 Si.upf
W 183.84 W.upf
CELL_PARAMETERS angstrom
-1.664 1.664 6.834
1.664 -1.664 6.834
1.664 1.664 -6.834
ATOMIC_POSITIONS crystal
Si 0.750 0.250 0.500
Si 0.250 0.750 0.500
Si 0.592 0.592 0.000
Si 0.408 0.408 0.000
W 0.000 0.000 0.000
```

Computed properties:
Its density is 6.50 g/cm³. The symmetry is I4/mmm (139).

***

Which structure is most stable? run 1, by 0.266 eV/atom over the runner-up.

***

Run 1
Material: YSiW3
Method: DFT, PBE
State: relaxed Values from VASP.

```
&SYSTEM
  ibrav = 0, nat = 5, ntyp = 3
/
ATOMIC_SPECIES
Y 88.91 Y.upf
Si 28.09 Si.upf
W 183.84 W.upf
CELL_PARAMETERS angstrom
-0.588 -4.553 -0.533
4.272 -0.349 -1.730
1.664 -0.712 4.253
ATOMIC_POSITIONS crystal
Y 0.500 0.500 0.500
Si 0.000 0.000 0.000
W 0.000 0.500 0.000
W 0.000 0.000 0.500
W 0.500 0.000 0.000
```

Computed properties:
Its density is 11.24 g/cm³. The symmetry is Pm-3m (221).

***

Run 2
Material: YSiW3
Method: DFT, PBE
State: relaxed Values from VASP.

```
&SYSTEM
  ibrav = 0, nat = 5, ntyp = 3
/
ATOMIC_SPECIES
Y 88.91 Y.upf
Si 28.09 Si.upf
W 183.84 W.upf
CELL_PARAMETERS angstrom
-1.223 3.969 2.450
1.842 -1.916 4.024
4.286 1.956 -1.031
ATOMIC_POSITIONS crystal
Y 0.000 0.000 0.000
Si 0.500 0.500 0.500
W 0.000 0.500 0.000
W 0.000 0.000 0.500
W 0.500 0.000 0.000
```

Computed properties:
Its density is 9.90 g/cm³. The symmetry is Pm-3m (221).

***

Which structure is most stable? run 1, by 2.376 eV/atom over the runner-up.

***

Run 1
Material: Y2Si2W
Method: DFT, PBE
State: relaxed Values from VASP.

```
&SYSTEM
  ibrav = 0, nat = 10, ntyp = 3
/
ATOMIC_SPECIES
Y 88.91 Y.upf
Si 28.09 Si.upf
W 183.84 W.upf
CELL_PARAMETERS angstrom
-0.098 -7.292 3.797
7.566 -1.565 -2.812
1.215 1.307 2.542
ATOMIC_POSITIONS crystal
Y 0.365 0.865 0.000
Y 0.865 0.635 0.000
Y 0.635 0.135 0.000
Y 0.135 0.365 0.000
Si 0.171 0.671 0.500
Si 0.671 0.829 0.500
Si 0.829 0.329 0.500
Si 0.329 0.171 0.500
W 0.000 0.000 0.000
W 0.500 0.500 0.000
```

Computed properties:
Its density is 6.61 g/cm³. The symmetry is P4/mbm (127).

***

Run 2
Material: Y2Si2W
Method: DFT, PBE
State: relaxed Values from VASP.

```
&SYSTEM
  ibrav = 0, nat = 5, ntyp = 3
/
ATOMIC_SPECIES
Y 88.91 Y.upf
Si 28.09 Si.upf
W 183.84 W.upf
CELL_PARAMETERS angstrom
-2.576 -1.351 1.848
-1.408 -1.258 -2.883
2.728 -8.918 0.499
ATOMIC_POSITIONS crystal
Y 0.393 0.393 0.214
Y 0.607 0.607 0.786
Si 0.750 0.250 0.500
Si 0.250 0.750 0.500
W 0.000 0.000 0.000
```

Computed properties:
Its density is 6.48 g/cm³. The symmetry is I4/mmm (139).

***

Which structure is most stable? run 2, by 0.236 eV/atom over the runner-up.

***

Run 1
Material: YSi3W
Method: DFT, PBE
State: relaxed Values from VASP.

```
&SYSTEM
  ibrav = 0, nat = 5, ntyp = 3
/
ATOMIC_SPECIES
Y 88.91 Y.upf
Si 28.09 Si.upf
W 183.84 W.upf
CELL_PARAMETERS angstrom
4.930 0.000 0.000
0.000 4.930 0.000
0.000 0.000 4.930
ATOMIC_POSITIONS crystal
Y 0.000 0.000 0.000
Si 0.000 0.500 0.000
Si 0.000 0.000 0.500
Si 0.500 0.000 0.000
W 0.500 0.500 0.500
```

Computed properties:
Its density is 4.95 g/cm³. The symmetry is Pm-3m (221).

***

Run 2
Material: YSi3W
Method: DFT, PBE
State: relaxed Values from VASP.

```
&SYSTEM
  ibrav = 0, nat = 5, ntyp = 3
/
ATOMIC_SPECIES
Y 88.91 Y.upf
Si 28.09 Si.upf
W 183.84 W.upf
CELL_PARAMETERS angstrom
4.733 0.000 0.000
0.000 4.733 0.000
0.000 0.000 4.733
ATOMIC_POSITIONS crystal
Y 0.500 0.500 0.500
Si 0.000 0.500 0.000
Si 0.000 0.000 0.500
Si 0.500 0.000 0.000
W 0.000 0.000 0.000
```

Computed properties:
Its density is 5.59 g/cm³. The symmetry is Pm-3m (221).

***

Which structure is most stable? run 2, by 1.980 eV/atom over the runner-up.

***

Run 1
Material: ZnSiW2
Method: DFT, PBE
State: relaxed Values from VASP.

```
&SYSTEM
  ibrav = 0, nat = 4, ntyp = 3
/
ATOMIC_SPECIES
Si 28.09 Si.upf
W 183.84 W.upf
Zn 65.41 Zn.upf
CELL_PARAMETERS angstrom
-3.192 -3.595 0.724
4.551 -1.400 0.983
-0.309 0.789 2.553
ATOMIC_POSITIONS crystal
Si 0.000 0.500 0.500
W 0.000 0.000 0.000
W 0.500 0.500 0.000
Zn 0.500 0.000 0.500
```

Computed properties:
Its density is 12.97 g/cm³. The symmetry is Cmmm (65).

***

Run 2
Material: ZnSiW2
Method: DFT, PBE
State: relaxed Values from VASP.

```
&SYSTEM
  ibrav = 0, nat = 4, ntyp = 3
/
ATOMIC_SPECIES
Si 28.09 Si.upf
W 183.84 W.upf
Zn 65.41 Zn.upf
CELL_PARAMETERS angstrom
-6.330 -6.525 0.560
-4.815 -7.571 -1.573
-4.046 -8.088 1.088
ATOMIC_POSITIONS crystal
Si 0.749 0.749 0.749
W 0.005 0.005 0.005
W 0.249 0.249 0.249
Zn 0.497 0.497 0.497
```

Computed properties:
Its density is 12.42 g/cm³. The symmetry is R3m (160).

***

Which structure is most stable? run 2, by 0.044 eV/atom over the runner-up.

***

Run 1
Material: ZnSiW2
Method: DFT, PBE
State: relaxed Values from VASP.

```
&SYSTEM
  ibrav = 0, nat = 8, ntyp = 3
/
ATOMIC_SPECIES
Zn 65.41 Zn.upf
Si 28.09 Si.upf
W 183.84 W.upf
CELL_PARAMETERS angstrom
6.911 0.000 0.000
0.000 6.911 0.000
3.455 3.455 2.681
ATOMIC_POSITIONS crystal
Zn 0.000 0.000 0.000
Zn 0.750 0.250 0.500
Si 0.500 0.500 0.000
Si 0.250 0.750 0.500
W 0.601 0.125 0.250
W 0.149 0.625 0.250
W 0.375 0.399 0.750
W 0.875 0.851 0.750
```

Computed properties:
Its density is 11.96 g/cm³. The symmetry is I-42d (122).

***

Run 2
Material: ZnSiW2
Method: DFT, PBE
State: relaxed Values from VASP.

```
&SYSTEM
  ibrav = 0, nat = 4, ntyp = 3
/
ATOMIC_SPECIES
Si 28.09 Si.upf
W 183.84 W.upf
Zn 65.41 Zn.upf
CELL_PARAMETERS angstrom
3.183 0.000 0.000
0.000 4.488 0.000
0.000 0.000 4.181
ATOMIC_POSITIONS crystal
Si 0.000 0.500 0.500
W 0.000 0.000 0.000
W 0.500 0.500 0.000
Zn 0.500 0.000 0.500
```

Computed properties:
Its density is 12.82 g/cm³. The symmetry is Pmmm (47).

***

Which structure is most stable? run 2, by 0.380 eV/atom over the runner-up.

***

Run 1
Material: ZnSiW
Method: DFT, PBE
State: relaxed Values from VASP.

```
&SYSTEM
  ibrav = 0, nat = 3, ntyp = 3
/
ATOMIC_SPECIES
Si 28.09 Si.upf
W 183.84 W.upf
Zn 65.41 Zn.upf
CELL_PARAMETERS angstrom
-1.912 3.882 -0.252
0.373 -2.467 -3.544
-2.316 -1.106 0.526
ATOMIC_POSITIONS crystal
Si 0.000 0.000 0.833
W 0.667 0.333 0.333
Zn 0.333 0.667 0.833
```

Computed properties:
Its density is 10.81 g/cm³. The symmetry is P-6m2 (187).

***

Run 2
Material: ZnSiW
Method: DFT, PBE
State: relaxed Values from VASP.

```
&SYSTEM
  ibrav = 0, nat = 3, ntyp = 3
/
ATOMIC_SPECIES
Si 28.09 Si.upf
W 183.84 W.upf
Zn 65.41 Zn.upf
CELL_PARAMETERS angstrom
-0.492 -6.707 -0.113
0.615 -6.118 2.322
-2.643 -0.526 0.489
ATOMIC_POSITIONS crystal
Si 0.994 0.994 0.006
W 0.339 0.339 0.661
Zn 0.668 0.668 0.332
```

Computed properties:
Its density is 10.03 g/cm³. The symmetry is Fmm2 (42).

***

Which structure is most stable? run 1, by 0.091 eV/atom over the runner-up.

***

Run 1
Material: ZnSiW
Method: DFT, PBE
State: relaxed Values from VASP.

```
&SYSTEM
  ibrav = 0, nat = 3, ntyp = 3
/
ATOMIC_SPECIES
Si 28.09 Si.upf
W 183.84 W.upf
Zn 65.41 Zn.upf
CELL_PARAMETERS angstrom
4.221 0.000 0.000
2.110 3.655 0.000
2.110 1.218 3.446
ATOMIC_POSITIONS crystal
Si 0.500 0.500 0.500
W 0.250 0.250 0.250
Zn 0.000 0.000 0.000
```

Computed properties:
Its density is 8.66 g/cm³. The symmetry is F-43m (216).

***

Run 2
Material: ZnSiW
Method: DFT, PBE
State: relaxed Values from VASP.

```
&SYSTEM
  ibrav = 0, nat = 3, ntyp = 3
/
ATOMIC_SPECIES
Si 28.09 Si.upf
W 183.84 W.upf
Zn 65.41 Zn.upf
CELL_PARAMETERS angstrom
6.566 -0.001 0.000
5.455 3.654 0.000
-6.010 -1.827 1.910
ATOMIC_POSITIONS crystal
Si 0.993 0.993 0.000
W 0.336 0.336 0.000
Zn 0.670 0.670 0.000
```

Computed properties:
Its density is 10.05 g/cm³. The symmetry is I4mm (107).

***

Run 3
Material: ZnSiW
Method: DFT, PBE
State: relaxed Values from VASP.

```
&SYSTEM
  ibrav = 0, nat = 6, ntyp = 3
/
ATOMIC_SPECIES
Zn 65.41 Zn.upf
Si 28.09 Si.upf
W 183.84 W.upf
CELL_PARAMETERS angstrom
-0.490 3.478 -0.742
-0.747 0.631 3.454
6.544 1.177 1.200
ATOMIC_POSITIONS crystal
Zn 0.000 0.000 0.000
Zn 0.500 0.500 0.000
Si 0.000 0.500 0.710
Si 0.500 0.000 0.290
W 0.000 0.500 0.340
W 0.500 0.000 0.660
```

Computed properties:
Its density is 10.58 g/cm³. The symmetry is P4/nmm (129).

***

Which structure is most stable? run 3, by 0.124 eV/atom over the runner-up.

***

Run 1
Material: Zn2Si2W
Method: DFT, PBE
State: relaxed Values from VASP.

```
&SYSTEM
  ibrav = 0, nat = 10, ntyp = 3
/
ATOMIC_SPECIES
Zn 65.41 Zn.upf
Si 28.09 Si.upf
W 183.84 W.upf
CELL_PARAMETERS angstrom
6.517 0.000 0.000
0.000 6.517 0.000
0.000 0.000 3.549
ATOMIC_POSITIONS crystal
Zn 0.167 0.667 0.500
Zn 0.667 0.833 0.500
Zn 0.833 0.333 0.500
Zn 0.333 0.167 0.500
Si 0.365 0.865 0.000
Si 0.865 0.635 0.000
Si 0.635 0.135 0.000
Si 0.135 0.365 0.000
W 0.000 0.000 0.000
W 0.500 0.500 0.000
```

Computed properties:
Its density is 8.17 g/cm³. The symmetry is P4/mbm (127).

***

Run 2
Material: Zn2Si2W
Method: DFT, PBE
State: relaxed Values from VASP.

```
&SYSTEM
  ibrav = 0, nat = 5, ntyp = 3
/
ATOMIC_SPECIES
Zn 65.41 Zn.upf
Si 28.09 Si.upf
W 183.84 W.upf
CELL_PARAMETERS angstrom
-3.209 -1.108 -0.455
0.830 -2.994 1.442
-2.873 0.366 6.481
ATOMIC_POSITIONS crystal
Zn 0.406 0.406 0.188
Zn 0.594 0.594 0.812
Si 0.750 0.250 0.500
Si 0.250 0.750 0.500
W 0.000 0.000 0.000
```

Computed properties:
Its density is 7.86 g/cm³. The symmetry is I4/mmm (139).

***

Run 3
Material: Zn2Si2W
Method: DFT, PBE
State: relaxed Values from VASP.

```
&SYSTEM
  ibrav = 0, nat = 10, ntyp = 3
/
ATOMIC_SPECIES
Zn 65.41 Zn.upf
Si 28.09 Si.upf
W 183.84 W.upf
CELL_PARAMETERS angstrom
-4.182 1.849 -4.946
-5.012 0.594 4.460
0.805 3.127 0.488
ATOMIC_POSITIONS crystal
Zn 0.374 0.874 0.000
Zn 0.874 0.626 0.000
Zn 0.626 0.126 0.000
Zn 0.126 0.374 0.000
Si 0.178 0.678 0.500
Si 0.678 0.822 0.500
Si 0.822 0.322 0.500
Si 0.322 0.178 0.500
W 0.000 0.000 0.000
W 0.500 0.500 0.000
```

Computed properties:
Its density is 8.31 g/cm³. The symmetry is P4/mbm (127).

***

Which structure is most stable? run 1, by 0.284 eV/atom over the runner-up.

***

Run 1
Material: ZrSi2W
Method: DFT, PBE
State: relaxed Values from VASP.

```
&SYSTEM
  ibrav = 0, nat = 4, ntyp = 3
/
ATOMIC_SPECIES
Si 28.09 Si.upf
W 183.84 W.upf
Zr 91.22 Zr.upf
CELL_PARAMETERS angstrom
4.317 0.031 0.000
-0.568 4.280 0.000
0.000 0.000 3.482
ATOMIC_POSITIONS crystal
Si 0.000 0.000 0.000
Si 0.500 0.500 0.000
W 0.500 0.000 0.500
Zr 0.000 0.500 0.500
```

Computed properties:
Its density is 8.54 g/cm³. The symmetry is Cmmm (65).

***

Run 2
Material: ZrSi2W
Method: DFT, PBE
State: relaxed Values from VASP.

```
&SYSTEM
  ibrav = 0, nat = 4, ntyp = 3
/
ATOMIC_SPECIES
Si 28.09 Si.upf
W 183.84 W.upf
Zr 91.22 Zr.upf
CELL_PARAMETERS angstrom
4.180 0.000 0.000
0.000 4.180 0.000
0.000 0.000 3.668
ATOMIC_POSITIONS crystal
Si 0.000 0.000 0.000
Si 0.500 0.500 0.000
W 0.500 0.000 0.500
Zr 0.000 0.500 0.500
```

Computed properties:
Its density is 8.58 g/cm³. The symmetry is P4/mmm (123).

***

Which structure is most stable? run 1, by 0.008 eV/atom over the runner-up.